1.
A plane-wave DFT calculation with GGA-PBE was carried out for crystalline NpSc2Tl3S6 at its relaxed geometry.

a = 6.750 Å, b = 6.750 Å, c = 7.839 Å
α = 98.26°, β = 98.26°, γ = 119.97°
Each line ends with the local moment (μB).
Fractional coordinates of all 12 atoms:
S1 0.284 0.284 0.811  -0.03
S2 0.589 0.936 0.809  -0.03
Tl1 0.500 0.500 0.500  0.01
Sc1 0.667 0.333 0.000  0.08
S3 0.411 0.064 0.191  -0.03
Np1 0.000 0.000 0.000  3.68
Tl2 0.165 0.835 0.500  0.01
Sc2 0.333 0.667 0.000  0.08
S4 0.064 0.411 0.191  -0.03
Tl3 0.835 0.165 0.500  0.01
S5 0.936 0.589 0.809  -0.03
S6 0.716 0.716 0.189  -0.03

Results
The theoretical density is 6.34 g/cm³. The calculation puts the total DFT energy (no corrections) at -6.026 eV per atom. The formation energy from raw total energies is -1236.9 meV/atom. Its symmetry is C2/m.

2.
A plane-wave DFT calculation with GGA-PBE was carried out for crystalline Np3ScTl4S8 at its relaxed geometry.

a = 7.994 Å, b = 8.823 Å, c = 7.994 Å
α = 116.94°, β = 120.00°, γ = 90.00°
Each line ends with the local moment (μB).
Fractional coordinates of all 16 atoms:
Np1 0.000 0.500 0.500  3.80
Np2 0.500 0.500 0.000  3.80
S1 0.742 0.691 0.967  -0.06
Tl1 0.000 0.000 0.500  0.01
Tl2 0.000 0.000 0.000  0.01
S2 0.775 0.309 0.550  -0.06
S3 0.269 0.306 0.537  -0.09
S4 0.775 0.309 0.033  -0.06
Np3 0.500 0.500 0.500  3.80
S5 0.225 0.691 0.450  -0.06
S6 0.731 0.694 0.463  -0.09
S7 0.225 0.691 0.967  -0.06
Tl3 0.500 0.000 0.500  0.01
S8 0.258 0.309 0.033  -0.06
Tl4 0.500 0.000 0.000  0.02
Sc1 0.000 0.500 0.000  0.14

Results
The theoretical density is 7.30 g/cm³. The calculation puts the total DFT energy (no corrections) at -6.579 eV per atom. The formation energy from raw total energies is -1101.6 meV/atom. Its symmetry is R-3m.

3.
A plane-wave DFT calculation with GGA-PBE was carried out for crystalline Tm3Np3ScS8 at its relaxed geometry.

a = 7.725 Å, b = 7.725 Å, c = 7.720 Å
α = 119.94°, β = 89.93°, γ = 120.15°
Each line ends with the local moment (μB).
Fractional coordinates of all 15 atoms:
Sc1 0.000 0.000 0.500  0.06
S1 0.243 0.488 0.738  0.01
S2 0.253 0.504 0.257  -0.02
Tm1 0.500 0.000 0.500  0.00
Np1 0.000 0.500 0.000  -3.79
S3 0.751 0.995 0.738  0.01
S4 0.244 0.996 0.740  -0.05
Np2 0.000 0.000 0.000  3.88
Np3 0.500 0.500 0.000  3.88
S5 0.747 0.496 0.743  -0.02
Tm2 0.500 0.500 0.500  0.05
S6 0.249 0.005 0.262  0.01
S7 0.757 0.512 0.262  0.01
S8 0.756 0.004 0.260  -0.05
Tm3 0.000 0.500 0.500  0.00

Results
The theoretical density is 7.75 g/cm³. The calculation puts the total DFT energy (no corrections) at -7.825 eV per atom. The formation energy from raw total energies is -1719.1 meV/atom. Its symmetry is C2/m.

4.
A plane-wave DFT calculation with GGA-PBE was carried out for crystalline TmNp2ScS4 at its relaxed geometry.

a = 3.842 Å, b = 6.683 Å, c = 6.620 Å
α = 109.54°, β = 90.00°, γ = 90.00°
Each line ends with the local moment (μB).
Fractional coordinates of all 8 atoms:
S1 0.000 0.247 0.760  0.02
S2 0.000 0.753 0.240  0.02
S3 0.500 0.758 0.763  -0.02
S4 0.500 0.242 0.237  -0.02
Np1 0.500 0.000 0.500  -3.79
Np2 0.000 0.500 0.500  3.86
Sc1 0.000 0.000 0.000  -0.08
Tm1 0.500 0.500 0.000  0.05

Results
The theoretical density is 8.46 g/cm³. The calculation puts the total DFT energy (no corrections) at -8.270 eV per atom. The formation energy from raw total energies is -1621.1 meV/atom. Its symmetry is P2/m.

5.
A plane-wave DFT calculation with GGA-PBE was carried out for crystalline NpScU2S4 at its relaxed geometry.

a = 3.762 Å, b = 6.775 Å, c = 6.566 Å
α = 108.46°, β = 90.00°, γ = 90.00°
Each line ends with the local moment (μB).
Fractional coordinates of all 8 atoms:
Sc1 0.500 0.500 0.000  0.05
S1 0.000 0.263 0.761  0.02
U1 0.000 0.500 0.500  1.86
U2 0.500 0.000 0.500  -2.16
S2 0.000 0.737 0.239  0.02
S3 0.500 0.744 0.756  0.02
Np1 0.000 0.000 0.000  -3.70
S4 0.500 0.256 0.244  0.02

Results
The theoretical density is 9.27 g/cm³. The calculation puts the total DFT energy (no corrections) at -8.766 eV per atom. The formation energy from raw total energies is -1471.3 meV/atom. Its symmetry is P2/m.

6.
A plane-wave DFT calculation with GGA-PBE was carried out for crystalline YNp2ScS5 at its relaxed geometry.

a = 4.925 Å, b = 4.925 Å, c = 9.897 Å
α = 90.00°, β = 90.00°, γ = 90.00°
Each line ends with the local moment (μB).
Fractional coordinates of all 9 atoms:
Sc1 0.000 0.000 0.000  0.31
Np1 0.500 0.500 0.294  4.41
Y1 0.000 0.000 0.500  0.07
S1 0.000 0.000 0.764  -0.04
S2 0.000 0.000 0.236  -0.04
Np2 0.500 0.500 0.706  4.41
S3 0.000 0.500 0.500  -0.04
S4 0.500 0.500 0.000  -0.07
S5 0.500 0.000 0.500  -0.04

Results
The theoretical density is 5.31 g/cm³. The calculation puts the total DFT energy (no corrections) at -7.611 eV per atom. The formation energy from raw total energies is -1020.2 meV/atom. Its symmetry is P4/mmm.

7.
A plane-wave DFT calculation with GGA-PBE was carried out for crystalline YNpSc2S4 at its relaxed geometry.

a = 3.792 Å, b = 6.604 Å, c = 6.586 Å
α = 109.20°, β = 90.00°, γ = 90.00°
Each line ends with the local moment (μB).
Fractional coordinates of all 8 atoms:
Np1 0.000 0.000 0.000  3.95
Sc1 0.000 0.500 0.500  -0.03
S1 0.500 0.256 0.267  -0.04
Sc2 0.500 0.000 0.500  0.10
S2 0.000 0.755 0.267  -0.01
Y1 0.500 0.500 0.000  0.07
S3 0.000 0.245 0.733  -0.01
S4 0.500 0.744 0.733  -0.04

Results
The theoretical density is 5.80 g/cm³. The calculation puts the total DFT energy (no corrections) at -7.844 eV per atom. The formation energy from raw total energies is -1771.4 meV/atom. Its symmetry is P2/m.

8.
A plane-wave DFT calculation with GGA-PBE was carried out for crystalline ZrNp4Sc3S8 at its relaxed geometry.

a = 7.646 Å, b = 7.544 Å, c = 7.646 Å
α = 120.45°, β = 120.00°, γ = 90.00°
Each line ends with the local moment (μB).
Fractional coordinates of all 16 atoms:
Np1 0.000 0.000 0.500  3.87
S1 0.754 0.265 0.508  -0.01
Np2 0.500 0.000 0.000  -3.68
S2 0.246 0.735 0.989  -0.01
S3 0.255 0.265 0.510  -0.05
Sc1 0.500 0.500 0.000  -0.02
S4 0.743 0.735 0.989  -0.01
S5 0.745 0.735 0.490  -0.05
Np3 0.000 0.000 0.000  3.87
Np4 0.500 0.000 0.500  3.87
S6 0.246 0.735 0.492  -0.01
Sc2 0.500 0.500 0.500  -0.02
S7 0.257 0.265 0.011  -0.01
S8 0.754 0.265 0.011  -0.01
Sc3 0.000 0.500 0.500  -0.02
Zr1 0.000 0.500 0.000  0.23

Results
The theoretical density is 7.67 g/cm³. The calculation puts the total DFT energy (no corrections) at -8.580 eV per atom. The formation energy from raw total energies is -1559.2 meV/atom. Its symmetry is R-3m.

9.
A plane-wave DFT calculation with GGA-PBE was carried out for crystalline Np4Se3S4 at its relaxed geometry.

a = 3.913 Å, b = 7.970 Å, c = 9.017 Å
α = 116.23°, β = 102.53°, γ = 90.00°
Each line ends with the local moment (μB).
Fractional coordinates of all 11 atoms:
Se1 0.098 0.098 0.197  0.04
Np1 0.752 0.252 0.505  3.43
Se2 0.000 0.500 0.000  0.09
S1 0.671 0.864 0.342  -0.06
Np2 0.248 0.748 0.495  3.43
Np3 0.500 0.226 0.000  -3.74
Se3 0.902 0.902 0.803  0.04
S2 0.329 0.136 0.658  -0.06
S3 0.671 0.478 0.342  -0.06
S4 0.329 0.522 0.658  -0.06
Np4 0.500 0.774 0.000  -3.74

Results
The theoretical density is 8.91 g/cm³. The calculation puts the total DFT energy (no corrections) at -8.361 eV per atom. The formation energy from raw total energies is -1204.2 meV/atom. Its symmetry is Immm.

10.
A plane-wave DFT calculation with GGA-PBE was carried out for crystalline NpSeS at its relaxed geometry.

a = 3.630 Å, b = 3.630 Å, c = 5.272 Å
α = 110.14°, β = 110.14°, γ = 90.00°
Each line ends with the local moment (μB).
Fractional coordinates of all 3 atoms:
S1 0.316 0.316 0.632  -0.14
Np1 0.673 0.673 0.347  3.37
Se1 0.011 0.011 0.022  -0.15

Results
The theoretical density is 9.53 g/cm³. The calculation puts the total DFT energy (no corrections) at -7.874 eV per atom. The formation energy from raw total energies is -1023.3 meV/atom. Its symmetry is I4mm.

11.
A plane-wave DFT calculation with GGA-PBE was carried out for crystalline NpSeS2 at its relaxed geometry.

a = 3.484 Å, b = 3.484 Å, c = 8.822 Å
α = 78.61°, β = 78.61°, γ = 60.00°
Each line ends with the local moment (μB).
Fractional coordinates of all 4 atoms:
S1 0.899 0.899 0.303  0.00
S2 0.101 0.101 0.697  0.00
Np1 0.000 0.000 0.000  4.01
Se1 0.500 0.500 0.500  0.16

Results
The theoretical density is 6.99 g/cm³. The calculation puts the total DFT energy (no corrections) at -5.748 eV per atom. The formation energy from raw total energies is 421.7 meV/atom. Its symmetry is R-3m.

12.
A plane-wave DFT calculation with GGA-PBE was carried out for crystalline Np4SeS6 at its relaxed geometry.

a = 7.295 Å, b = 7.295 Å, c = 7.185 Å
α = 59.17°, β = 59.17°, γ = 89.76°
Each line ends with the local moment (μB).
Fractional coordinates of all 11 atoms:
S1 0.481 0.481 0.321  0.06
Np1 0.173 0.635 0.192  -3.54
Np2 0.635 0.173 0.192  -3.54
S2 0.193 0.193 0.322  0.06
S3 0.995 0.495 0.012  0.08
Np3 0.369 0.369 0.801  3.54
S4 0.519 0.812 0.674  0.09
S5 0.812 0.519 0.674  0.09
Np4 0.828 0.828 0.804  -3.59
Se1 0.000 0.000 0.996  0.08
S6 0.495 0.995 0.012  0.08

Results
The theoretical density is 7.67 g/cm³. The calculation puts the total DFT energy (no corrections) at -8.478 eV per atom. The formation energy from raw total energies is -1203.9 meV/atom. Its symmetry is Cm.